# PBE RbMgNpCl6, optimized geometry
data_RbMgNpCl6
_cell_length_a 6.9595
_cell_length_b 6.9595
_cell_length_c 14.3692
_cell_angle_alpha 90.00
_cell_angle_beta 90.00
_cell_angle_gamma 120.00
_symmetry_space_group_name_H-M 'P -3 1 c'
_symmetry_Int_Tables_number 163
_symmetry_space_group_name_Hall '-P 3 2c'
loop_
_atom_site_label
_atom_site_type_symbol
_atom_site_fract_x
_atom_site_fract_y
_atom_site_fract_z
_atom_site_occupancy
Rb1 Rb 0.0000 0.0000 0.0000 1
Mg1 Mg 0.3333 0.6667 0.2500 1
Np1 Np 0.3333 0.6667 0.7500 1
Cl1 Cl 0.0224 0.3856 0.1473 1
# DOS(E_F)   8.1 states/eV/f.u.
# Calculated total energy   -86.20 eV for the cell shown
# Raw formation energy   -1.8351 eV/atom
# Theoretical density   3.08 g cm⁻³

***

# PBE MgNpTlCl6, optimized geometry
data_MgNpTlCl6
_cell_length_a 6.9451
_cell_length_b 6.9451
_cell_length_c 13.8853
_cell_angle_alpha 90.00
_cell_angle_beta 90.00
_cell_angle_gamma 120.00
_symmetry_space_group_name_H-M 'P -3 1 c'
_symmetry_Int_Tables_number 163
_symmetry_space_group_name_Hall '-P 3 2c'
loop_
_atom_site_label
_atom_site_type_symbol
_atom_site_fract_x
_atom_site_fract_y
_atom_site_fract_z
_atom_site_occupancy
Mg1 Mg 0.3333 0.6667 0.2500 1
Np1 Np 0.3333 0.6667 0.7500 1
Tl1 Tl 0.0000 0.0000 0.0000 1
Cl1 Cl 0.0224 0.3836 0.1440 1
# DOS(E_F)   8.3 states/eV/f.u.
# Calculated total energy   -84.95 eV for the cell shown
# Raw formation energy   -1.6106 eV/atom
# Theoretical density   3.88 g cm⁻³

***

# PBE Mg3ClO, optimized geometry
data_Mg3ClO
_cell_length_a 4.558
_cell_length_b 4.558
_cell_length_c 4.558
_cell_angle_alpha 90.00
_cell_angle_beta 90.00
_cell_angle_gamma 90.00
_symmetry_space_group_name_H-M 'P m -3 m'
_symmetry_Int_Tables_number 221
_symmetry_space_group_name_Hall '-P 4 2 3'
loop_
_atom_site_label
_atom_site_type_symbol
_atom_site_fract_x
_atom_site_fract_y
_atom_site_fract_z
_atom_site_occupancy
Mg1 Mg 0.000 0.000 0.500 1
Cl1 Cl 0.500 0.500 0.500 1
O1 O 0.000 0.000 0.000 1
# DOS(E_F)   1.7 states/eV/f.u.
# Calculated total energy   -15.69 eV for the cell shown
# ΔE to the lowest computed polymorph   0 meV/atom
# Raw formation energy   -0.8206 eV/atom
# Theoretical density   2.18 g cm⁻³

***

# PBE MgClO, optimized geometry
data_MgClO
_cell_length_a 3.4491
_cell_length_b 3.4491
_cell_length_c 14.1638
_cell_angle_alpha 90.00
_cell_angle_beta 90.00
_cell_angle_gamma 120.00
_symmetry_space_group_name_H-M 'R 3 m'
_symmetry_Int_Tables_number 160
_symmetry_space_group_name_Hall 'R 3 -2"'
loop_
_atom_site_label
_atom_site_type_symbol
_atom_site_fract_x
_atom_site_fract_y
_atom_site_fract_z
_atom_site_occupancy
Mg1 Mg 0.0000 0.0000 0.0000 1
Cl1 Cl 0.0000 0.0000 0.4587 1
O1 O 0.0000 0.0000 0.6317 1
# DOS(E_F)   0.8 states/eV/f.u.
# Calculated total energy   -38.18 eV for the cell shown
# Raw formation energy   -1.4428 eV/atom
# Theoretical density   2.59 g cm⁻³

***

# PBE Mg2ClO3, optimized geometry
data_Mg2ClO3
_cell_length_a 8.296
_cell_length_b 6.299
_cell_length_c 8.162
_cell_angle_alpha 90.00
_cell_angle_beta 90.00
_cell_angle_gamma 90.00
_symmetry_space_group_name_H-M 'P n m a'
_symmetry_Int_Tables_number 62
loop_
_symmetry_equiv_pos_as_xyz
'x,y,z'
'-x,-y,-z'
'-x+1/2,-y,z+1/2'
'x+1/2,y,-z+1/2'
'x+1/2,-y+1/2,-z+1/2'
'-x+1/2,y+1/2,z+1/2'
'-x,y+1/2,-z'
'x,-y+1/2,z'
loop_
_atom_site_label
_atom_site_type_symbol
_atom_site_fract_x
_atom_site_fract_y
_atom_site_fract_z
_atom_site_occupancy
Mg1 Mg 0.000 0.000 0.000 1
Mg2 Mg 0.220 0.250 0.234 1
Cl1 Cl 0.245 0.750 0.038 1
O1 O 0.037 0.639 0.719 1
O2 O 0.134 0.250 0.014 1
# DOS(E_F)   2.6 states/eV/f.u.
# Calculated total energy   -113.02 eV for the cell shown
# ΔE to the lowest computed polymorph   154 meV/atom
# Raw formation energy   -1.3908 eV/atom
# Theoretical density   2.06 g cm⁻³

***

# PBE Mg2ClO3, optimized geometry
data_Mg2ClO3
_cell_length_a 3.974
_cell_length_b 7.365
_cell_length_c 7.701
_cell_angle_alpha 100.07
_cell_angle_beta 90.03
_cell_angle_gamma 91.71
_symmetry_space_group_name_H-M 'P -1'
_symmetry_Int_Tables_number 2
loop_
_symmetry_equiv_pos_as_xyz
'x,y,z'
'-x,-y,-z'
loop_
_atom_site_label
_atom_site_type_symbol
_atom_site_fract_x
_atom_site_fract_y
_atom_site_fract_z
_atom_site_occupancy
Mg1 Mg 0.245 0.407 0.112 1
Mg2 Mg 0.255 0.586 0.619 1
Cl1 Cl 0.402 0.124 0.461 1
O1 O 0.244 0.421 0.376 1
O2 O 0.247 0.471 0.861 1
O3 O 0.260 0.686 0.900 1
# DOS(E_F)   0.0 states/eV/f.u.
# Calculated total energy   -58.36 eV for the cell shown
# ΔE to the lowest computed polymorph   0 meV/atom
# Raw formation energy   -1.5448 eV/atom
# Theoretical density   1.98 g cm⁻³